An optimized crystal structure of KNa2CdI6, computed with PBE.

```
KNa2CdI6
1.0
-3.380 7.079 -4.219
-4.064 -3.525 -10.180
-9.940 2.778 5.105
K Na Cd I
2 4 2 12
Direct
0.250 0.896 0.104
0.750 0.104 0.896
0.399 0.724 0.530
0.101 0.470 0.276
0.601 0.276 0.470
0.899 0.530 0.724
0.250 0.154 0.846
0.750 0.846 0.154
0.200 0.918 0.805
0.300 0.195 0.082
0.800 0.082 0.195
0.700 0.805 0.918
0.435 0.886 0.342
0.065 0.658 0.114
0.565 0.114 0.658
0.935 0.342 0.886
0.063 0.671 0.538
0.437 0.462 0.329
0.937 0.329 0.462
0.563 0.538 0.671
```

- formation energy without anion corrections (meV/atom) = -898.6
- E_tot (eV per atom) = -2.29
- magnetization (Bohr magnetons per cell) = 2.01



An optimized crystal structure of Tm4Te3Au, computed with PBE.

```
Tm4Te3Au
1.0
4.143 0.000 0.000
0.000 7.541 0.022
0.000 -2.356 7.163
Tm Te Au
4 3 1
Direct
0.000 0.223 0.223
0.500 0.764 0.236
0.000 0.777 0.777
0.500 0.236 0.764
0.000 0.000 0.500
0.500 0.500 0.500
0.000 0.500 0.000
0.500 0.000 0.000
```

- formation energy without anion corrections (meV/atom) = -1126.3
- E_tot (eV per atom) = -4.95
- magnetization (Bohr magnetons per cell) = 0.00
- DOS(E_F) (states/eV/atom) = 0.5666



An optimized crystal structure of Dy8HoEr2, computed with PBE.

```
Dy8HoEr2
1.0
-7.623 -4.926 -6.502
12.741 -0.685 8.569
9.159 2.835 12.030
Er Ho Dy
2 1 8
Direct
0.091 0.818 0.546
0.909 0.182 0.454
0.000 0.000 0.000
0.546 0.909 0.273
0.182 0.636 0.092
0.637 0.727 0.818
0.363 0.273 0.182
0.818 0.364 0.908
0.454 0.091 0.727
0.273 0.454 0.637
0.727 0.546 0.363
```

- energy above the lowest structure with this stoichiometry (eV per atom) = 0.000
- E_tot (eV per atom) = -4.57
- magnetization (Bohr magnetons per cell) = 0.00
- formation energy from the elements (eV per atom) = 0.019
- DOS(E_F) (states/eV/atom) = 1.4283



An optimized crystal structure of YCd2Cu2, computed with PBE.

```
YCd2Cu2
1.0
4.127 0.000 0.000
0.000 4.127 0.000
2.064 2.064 5.896
Y Cu Cd
1 2 2
Direct
0.000 0.000 0.000
0.401 0.401 0.199
0.599 0.599 0.801
0.750 0.250 0.500
0.250 0.750 0.500
```

- energy above the lowest structure with this stoichiometry (eV per atom) = 0.000
- E_tot (eV per atom) = -3.45
- magnetization (Bohr magnetons per cell) = 0.00
- formation energy from the elements (eV per atom) = -0.153
- DOS(E_F) (states/eV/atom) = 0.6301



An optimized crystal structure of AgSb2TeAs, computed with PBE.

```
AgSb2TeAs
1.0
5.347 0.000 0.000
0.000 5.347 0.000
0.000 0.000 5.539
Sb As Te Ag
2 1 1 1
Direct
0.000 0.500 0.000
0.500 0.000 0.000
0.000 0.000 0.000
0.000 0.000 0.500
0.500 0.500 0.500
```

- energy above the lowest structure with this stoichiometry (eV per atom) = 0.000
- formation energy without anion corrections (meV/atom) = 725.4
- E_tot (eV per atom) = -3.05
- magnetization (Bohr magnetons per cell) = 0.00
- DOS(E_F) (states/eV/atom) = 1.0992



An optimized crystal structure of Y2PtPb, computed with PBE.

```
Y2PtPb
1.0
3.564 0.000 0.000
0.000 3.520 -0.005
0.000 3.530 7.974
Pb Y Pt
1 2 1
Direct
0.500 0.250 0.250
0.000 0.036 0.963
0.000 0.464 0.537
0.500 0.750 0.750
```

- E_tot (eV per atom) = -6.52
- magnetization (Bohr magnetons per cell) = 0.00
- formation energy from the elements (eV per atom) = -0.849
- DOS(E_F) (states/eV/atom) = 0.4910



Question: What is the formula in the sixth record?
Answer: Y2PtPb



Question: What is the E_tot in the sixth record?
Answer: -6.52 eV per atom



Question: The lowest E_tot belongs to which entry?
Answer: Y2PtPb